A plane-wave DFT calculation with PBE+U was carried out for a relaxed SrMn3Tl2F12 crystal.

Calculated values
**DOS(E_F)**: 2.877 states/eV per cell
**Final energy**: -98.32 eV per cell

POSCAR file:
```
SrMn3Tl2F12
1.0
-5.5054 -4.3623 1.3708
2.0181 -6.6089 1.8622
-0.8635 -1.3667 6.9717
Sr Mn Tl F
1 3 2 12
Cartesian
0.0000 0.0000 0.0000
-2.7527 -2.1811 0.6854
1.0091 -3.3044 0.9311
-0.4317 -0.6833 3.4858
-2.6797 -7.5991 6.2852
-1.6710 -4.7387 3.9194
-1.7123 -4.1650 7.1744
-3.3908 -10.1074 5.7056
-1.2816 -8.7462 8.2506
-4.6761 -6.0776 3.5983
-4.7002 -7.7254 8.0273
0.1275 -7.5120 3.9121
-2.6384 -8.1728 3.0302
-0.9599 -2.2304 4.4990
-3.0691 -3.5916 1.9540
0.3254 -6.2602 6.6063
0.3495 -4.6124 2.1773
-4.4782 -4.8258 6.2925
```